Computed, not measured: a relaxed structure of Ti2SeCl at the PBE-GGA level of DFT.

Output
**Electronic total energy**: -5.74 eV/atom
**Fermi-level density of states**: 8.247 states/eV per cell
**Raw formation energy**: -1.84 eV per formula unit
**Distance to the lowest polymorph of the same formula**: 153.2 meV per atom

POSCAR file:
```
Ti2SeCl
1.0
-1.448 -1.057 4.299
-2.432 -3.589 -1.701
4.038 -6.805 2.211
Ti Se Cl
4 2 2
Cartesian
-0.167 -2.786 2.930
-0.724 -4.100 0.124
-0.312 -9.088 3.969
1.519 -6.927 2.594
0.000 0.000 0.000
0.325 -5.092 3.904
-0.167 -6.359 0.904
-1.940 -2.323 1.299
```